Here is a relaxed LaTiPt2 crystal from the Alexandria database. Energies are from PBE.

formation energy: -14.92 kcal/mol of atoms
excess energy over the best structure of this formula in the dataset: 279.4 meV per atom
size of the total moment: 0.000 μB per atom

a = 6.8861 Å, b = 6.8861 Å, c = 6.8861 Å
α = 90.00°, β = 90.00°, γ = 90.00°
Space group Fm-3m (No. 225)
Symmetry-distinct sites (fractional):
La: 0.0000 0.0000 0.0000 (multiplicity 4)
Ti: 0.0000 0.0000 0.5000 (multiplicity 4)
Pt: 0.2500 0.2500 0.2500 (multiplicity 8)